1.
Here is an optimized crystal structure of KCa2InPt from the Alexandria database. Energies are from GGA-PBE.

Results
**Energy relative to the elements**: -0.417 eV/atom
**E**: -16.0 eV per cell
**Density**: 4.2 Mg/m³
**DOS at the Fermi energy**: 2.778 states/eV per cell

abc: 5.6906 5.6906 5.2992
angles: 90.00 90.00 90.00
With the nearest neighbours (Å) after each atom.
Space group P4/mmm (No. 123)
One atom of each set of equivalent atoms:
K (0.0000, 0.0000, 0.0000)  8 Ca 3.89, 4 In 4.02
Ca (0.0000, 0.5000, 0.5000)  2 Pt 2.85
In (0.5000, 0.5000, 0.0000)  2 Pt 2.65
Pt (0.5000, 0.5000, 0.5000)  2 In 2.65, 4 Ca 2.85


2.
Here is an optimized crystal structure of KCa2InRh from the Alexandria database. Energies are from GGA-PBE.

Results
**Energy relative to the elements**: -0.265 eV/atom
**E**: -16.5 eV per cell
**Density**: 3.4 Mg/m³
**DOS at the Fermi energy**: 2.362 states/eV per cell

abc: 5.5396 5.5396 5.3687
angles: 90.00 90.00 90.00
With the nearest neighbours (Å) after each atom.
Space group P4/mmm (No. 123)
One atom of each set of equivalent atoms:
K (0.0000, 0.0000, 0.0000)  8 Ca 3.86, 4 In 3.92
Ca (0.0000, 0.5000, 0.5000)  2 Rh 2.77
In (0.5000, 0.5000, 0.0000)  2 Rh 2.68
Rh (0.5000, 0.5000, 0.5000)  2 In 2.68, 4 Ca 2.77


3.
Here is an optimized crystal structure of KCaIn2Rh from the Alexandria database. Energies are from GGA-PBE.

Results
**Energy relative to the elements**: -0.292 eV/atom
**E**: -17.4 eV per cell
**Density**: 4.5 Mg/m³
**DOS at the Fermi energy**: 3.519 states/eV per cell

abc: 5.2899 5.2899 5.3914
angles: 90.00 90.00 90.00
With the nearest neighbours (Å) after each atom.
Space group P4/mmm (No. 123)
One atom of each set of equivalent atoms:
K (0.0000, 0.0000, 0.0000)  4 Ca 3.74, 8 In 3.78
Ca (0.5000, 0.5000, 0.0000)  2 Rh 2.70
In (0.0000, 0.5000, 0.5000)  2 Rh 2.64
Rh (0.5000, 0.5000, 0.5000)  4 In 2.64, 2 Ca 2.70


4.
Here is an optimized crystal structure of KCaIn2Ru from the Alexandria database. Energies are from GGA-PBE.

Results
**Energy relative to the elements**: -0.101 eV/atom
**E**: -18.4 eV per cell
**Density**: 4.5 Mg/m³
**DOS at the Fermi energy**: 1.351 states/eV per cell

abc: 5.2986 5.2986 5.4012
angles: 90.00 90.00 90.00
With the nearest neighbours (Å) after each atom.
Space group P4/mmm (No. 123)
One atom of each set of equivalent atoms:
K (0.0000, 0.0000, 0.0000)  4 Ca 3.75, 8 In 3.78
Ca (0.5000, 0.5000, 0.0000)  2 Ru 2.70
In (0.0000, 0.5000, 0.5000)  2 Ru 2.65
Ru (0.5000, 0.5000, 0.5000)  4 In 2.65, 2 Ca 2.70


5.
Here is an optimized crystal structure of KCaInS3 from the Alexandria database. Energies are from GGA-PBE.

Results
**E**: -103.7 eV per cell
**Density**: 2.8 Mg/m³
**Formation energy (no corrections)**: -1.285 eV/atom
**DOS at the Fermi energy**: 0.000 states/eV per cell

abc: 4.1114 14.7403 11.4058
angles: 90.00 90.00 90.00
With the nearest neighbours (Å) after each atom.
Space group Cmcm (No. 63)
One atom of each set of equivalent atoms:
K (0.0000, 0.2486, 0.2500)  6 S 3.35-3.45
Ca (0.0000, 0.0000, 0.0000)  6 S 2.85-3.04
In (0.0000, 0.4676, 0.7500)  4 S 2.43-2.57
S (0.0000, 0.0720, 0.7500)  2 In 2.57
S (0.0000, 0.3783, 0.5714)  1 In 2.43


6.
Here is an optimized crystal structure of KCaInS2 from the Alexandria database. Energies are from GGA-PBE.

Results
**E**: -14.3 eV per cell
**Density**: 2.7 Mg/m³
**Formation energy (no corrections)**: -0.049 eV/atom
**DOS at the Fermi energy**: 2.745 states/eV per cell

abc: 5.3621 5.3621 5.5849
angles: 90.00 90.00 90.00
With the nearest neighbours (Å) after each atom.
Space group P4/mmm (No. 123)
One atom of each set of equivalent atoms:
K (0.0000, 0.0000, 0.0000)  2 In 2.79
Ca (0.5000, 0.5000, 0.0000)  4 K 3.79, 8 S 3.87
In (0.0000, 0.0000, 0.5000)  4 S 2.68, 2 K 2.79
S (0.0000, 0.5000, 0.5000)  2 In 2.68


7.
Here is an optimized crystal structure of K2CaInSb2 from the Alexandria database. Energies are from GGA-PBE.

Results
**E**: -73.9 eV per cell
**Density**: 3.5 Mg/m³
**Formation energy (no corrections)**: -0.549 eV/atom
**DOS at the Fermi energy**: 8.340 states/eV per cell

abc: 7.1318 16.8709 7.4562
angles: 90.00 90.00 90.00
With the nearest neighbours (Å) after each atom.
Space group Ibam (No. 72)
One atom of each set of equivalent atoms:
K (0.2317, 0.1781, 0.0000)  5 Sb 3.62-3.92, 2 In 3.90, 2 Ca 4.02
Ca (0.0000, 0.5000, 0.2500)  4 Sb 3.16
In (0.0000, 0.0000, 0.2500)  4 Sb 3.13
Sb (0.2471, 0.1065, 0.5000)  2 In 3.13, 2 Ca 3.16


8.
Here is an optimized crystal structure of K2CaInSe4 from the Alexandria database. Energies are from GGA-PBE.

Results
**E**: -58.3 eV per cell
**Density**: 3.8 Mg/m³
**Formation energy (no corrections)**: -1.036 eV/atom
**DOS at the Fermi energy**: 19.615 states/eV per cell

abc: 7.9447 7.9447 7.5194
angles: 90.00 90.00 90.00
With the nearest neighbours (Å) after each atom.
Space group I-42m (No. 121)
One atom of each set of equivalent atoms:
K (0.0000, 0.5000, 0.0000)  8 Se 3.36-3.58, 2 K 3.76
Ca (0.0000, 0.0000, 0.0000)  4 Se 2.91
In (0.0000, 0.0000, 0.5000)  4 Se 2.64
Se (0.1814, 0.1814, 0.2768)  1 In 2.64, 1 Ca 2.91


- density of number 7 (K2CaInSb2)?
  3.5 Mg/m³


- What is the density in the sixth record?
  2.7 Mg/m³


- Which of these has the highest E?
  KCaInS2